# 1
# ScTeF2

A relaxed ScTeF2 crystal (GGA-PBE, the Alexandria database).

Output
- raw formation energy (eV per atom) = -2.36
- total DFT energy (no corrections) (eV per atom) = -5.66
- relative energy among the computed polymorphs (kJ/mol of formula units) = 0

abc: 5.727 5.727 10.679
angles: 90.00 90.00 90.00
Space group I4_1/amd (No. 141, origin choice 2)
One atom of each set of equivalent atoms:
Sc (0.000, 0.250, 0.375) x4
Te (0.000, 0.250, 0.875) x4
F (0.000, 0.000, 0.500) x8

=====

# 2
# Sc2TeF

A relaxed Sc2TeF crystal (GGA-PBE, the Alexandria database).

Output
- raw formation energy (eV per atom) = -1.38
- total DFT energy (no corrections) (eV per atom) = -5.80
- relative energy among the computed polymorphs (kJ/mol of formula units) = 0

abc: 5.738 5.738 11.367
angles: 90.00 90.00 90.00
Space group I-42d (No. 122)
One atom of each set of equivalent atoms:
Sc (0.153, 0.250, 0.125) x8
Te (0.000, 0.000, 0.500) x4
F (0.000, 0.000, 0.000) x4

=====

# 3
# Sc2TeF

A relaxed Sc2TeF crystal (GGA-PBE, the Alexandria database).

Output
- raw formation energy (eV per atom) = -1.28
- total DFT energy (no corrections) (eV per atom) = -5.70
- relative energy among the computed polymorphs (kJ/mol of formula units) = 36

abc: 6.809 6.809 6.809
angles: 90.00 90.00 90.00
Space group Fm-3m (No. 225)
One atom of each set of equivalent atoms:
Sc (0.250, 0.250, 0.250) x8
Te (0.000, 0.000, 0.000) x4
F (0.000, 0.000, 0.500) x4

=====

# 4
# ScTe3F

A relaxed ScTe3F crystal (GGA-PBE, the Alexandria database).

Output
- raw formation energy (eV per atom) = -0.32
- total DFT energy (no corrections) (eV per atom) = -3.85
- relative energy among the computed polymorphs (kJ/mol of formula units) = 0

abc: 5.388 5.388 5.388
angles: 90.00 90.00 90.00
Space group Pm-3m (No. 221)
One atom of each set of equivalent atoms:
Sc (0.000, 0.000, 0.000) x1
Te (0.000, 0.000, 0.500) x3
F (0.500, 0.500, 0.500) x1

=====

# 5
# ScTe3F

A relaxed ScTe3F crystal (GGA-PBE, the Alexandria database).

Output
- raw formation energy (eV per atom) = -0.29
- total DFT energy (no corrections) (eV per atom) = -3.82
- relative energy among the computed polymorphs (kJ/mol of formula units) = 14

abc: 4.963 4.963 4.963
angles: 90.00 90.00 90.00
Space group Pm-3m (No. 221)
One atom of each set of equivalent atoms:
Sc (0.000, 0.000, 0.000) x1
Te (0.000, 0.500, 0.500) x3
F (0.500, 0.500, 0.500) x1

=====

# 6
# ScTeF3

A relaxed ScTeF3 crystal (GGA-PBE, the Alexandria database).

Output
- raw formation energy (eV per atom) = -2.42
- total DFT energy (no corrections) (eV per atom) = -5.43
- relative energy among the computed polymorphs (kJ/mol of formula units) = 0

abc: 4.324 4.324 4.324
angles: 90.00 90.00 90.00
Space group Pm-3m (No. 221)
One atom of each set of equivalent atoms:
Sc (0.000, 0.000, 0.000) x1
Te (0.500, 0.500, 0.500) x1
F (0.000, 0.000, 0.500) x3

=====

# 7
# ScTeF2

A relaxed ScTeF2 crystal (GGA-PBE, the Alexandria database).

Output
- raw formation energy (eV per atom) = -2.31
- total DFT energy (no corrections) (eV per atom) = -5.61
- relative energy among the computed polymorphs (kJ/mol of formula units) = 19

abc: 3.3030 3.3030 27.7350
angles: 90.00 90.00 120.00
Space group R-3m (No. 166, hexagonal axes)
One atom of each set of equivalent atoms:
Sc (0.0000, 0.0000, 0.0000) x3
Te (0.0000, 0.0000, 0.5000) x3
F (0.0000, 0.0000, 0.3700) x6

=====

# 8
# ScTeF2

A relaxed ScTeF2 crystal (GGA-PBE, the Alexandria database).

Output
- raw formation energy (eV per atom) = -1.58
- total DFT energy (no corrections) (eV per atom) = -4.88
- relative energy among the computed polymorphs (kJ/mol of formula units) = 301

abc: 6.379 6.379 6.379
angles: 90.00 90.00 90.00
Space group Fm-3m (No. 225)
One atom of each set of equivalent atoms:
Sc (0.000, 0.000, 0.000) x4
Te (0.000, 0.000, 0.500) x4
F (0.250, 0.250, 0.250) x8

=====

# 9
# Sc2TeF

A relaxed Sc2TeF crystal (GGA-PBE, the Alexandria database).

Output
- raw formation energy (eV per atom) = -0.97
- total DFT energy (no corrections) (eV per atom) = -5.39
- relative energy among the computed polymorphs (kJ/mol of formula units) = 157

abc: 3.5886 3.5886 23.9884
angles: 90.00 90.00 120.00
Space group R-3m (No. 166, hexagonal axes)
One atom of each set of equivalent atoms:
Sc (0.0000, 0.0000, 0.1149) x6
Te (0.0000, 0.0000, 0.0000) x3
F (0.0000, 0.0000, 0.5000) x3

=====

# 10
# ScTeF6

A relaxed ScTeF6 crystal (GGA-PBE, the Alexandria database).

Output
- raw formation energy (eV per atom) = -2.76
- total DFT energy (no corrections) (eV per atom) = -5.35

abc: 5.149 5.262 5.744
angles: 70.96 74.70 65.53
Space group P-1 (No. 2)
One atom of each set of equivalent atoms:
Sc (0.000, 0.000, 0.000) x1
Te (0.500, 0.500, 0.500) x1
F (0.090, 0.341, 0.791) x2
F (0.308, 0.881, 0.230) x2
F (0.309, 0.761, 0.758) x2

=====

# 11
# Sc3TeF

A relaxed Sc3TeF crystal (GGA-PBE, the Alexandria database).

Output
- raw formation energy (eV per atom) = -1.01
- total DFT energy (no corrections) (eV per atom) = -5.81
- relative energy among the computed polymorphs (kJ/mol of formula units) = 0

abc: 4.544 4.544 4.544
angles: 90.00 90.00 90.00
Space group Pm-3m (No. 221)
One atom of each set of equivalent atoms:
Sc (0.000, 0.000, 0.500) x3
Te (0.500, 0.500, 0.500) x1
F (0.000, 0.000, 0.000) x1

=====

# 12
# ScTeF3

A relaxed ScTeF3 crystal (GGA-PBE, the Alexandria database).

Output
- raw formation energy (eV per atom) = -0.97
- total DFT energy (no corrections) (eV per atom) = -3.99
- relative energy among the computed polymorphs (kJ/mol of formula units) = 696

abc: 4.700 4.700 4.700
angles: 90.00 90.00 90.00
Space group Pm-3m (No. 221)
One atom of each set of equivalent atoms:
Sc (0.000, 0.000, 0.000) x1
Te (0.500, 0.500, 0.500) x1
F (0.000, 0.500, 0.500) x3